TcPbBrCl6: optimized geometry, GGA-PBE.

POSCAR file:
```
TcPbBrCl6
1.0
-4.4401 -3.3102 4.2323
-5.6733 -3.0837 -2.6244
4.0862 -6.7053 -0.9573
Pb Tc Cl Br
1 1 6 1
Cartesian
-4.6990 -7.6154 0.5928
-1.3279 -5.4836 0.0573
-0.8252 -3.3943 -0.9536
-3.6170 -5.1621 -0.4892
-0.9415 -6.5926 -2.0076
-1.6950 -4.3626 2.1193
-1.8440 -7.5790 1.0497
0.9545 -5.8122 0.6249
-0.3538 -10.0153 3.2747
```

Properties
E   -3.62 eV/atom
Space-group type   P312 (149)
E_form (uncorrected)   -14.66 kcal/mol of atoms
Mass density   2983 kg/m3


TePb2BrCl: optimized geometry, GGA-PBE.

POSCAR file:
```
TePb2BrCl
1.0
4.5019 0.0000 0.0000
-2.2509 8.6218 -0.4710
0.0000 -2.6532 10.0162
Br Pb Te Cl
2 4 2 2
Cartesian
0.0000 -0.4342 3.1014
2.2509 6.4028 6.4437
2.2509 5.3884 1.4357
0.0000 4.2887 6.4230
2.2509 1.6799 3.1221
0.0000 0.5802 8.1095
2.2509 1.8977 6.2530
0.0000 4.0709 3.2921
2.2509 2.7351 0.0976
0.0000 3.2335 9.4475
```

Properties
E   -3.57 eV/atom
Space-group type   C2/m (12)
E_form (uncorrected)   -17.32 kcal/mol of atoms
Mass density   5698 kg/m3